# 1
DFT (PBE) results for an optimized crystal structure of NdTm4Pb2.

Lattice parameters (Å, degrees): 9.7853 9.7853 4.5557 90.00 90.00 90.00
Space group P4_2/mnm (No. 136)
Symmetry-distinct sites (fractional):
Nd 0.0000 0.0000 0.0000 x2
Tm 0.0955 0.3462 0.5000 x8
Pb 0.1796 0.8204 0.5000 x4

ΔH_f (0 K) ... -226 meV/atom
Magnetic moment ... 0.00 μB/f.u.
E_tot ... -4.522 eV/atom


# 2
DFT (PBE) results for an optimized crystal structure of Cs2Cu2Br5.

Lattice parameters (Å, degrees): 13.5059 5.2526 8.8577 90.00 97.57 90.00
Space group C2/m (No. 12)
Symmetry-distinct sites (fractional):
Cs 0.0840 0.0000 0.2914 x4
Cu 0.1713 0.5000 0.8828 x4
Br 0.0000 0.5000 0.0000 x2
Br 0.1296 0.5000 0.6126 x4
Br 0.2020 0.0000 0.8944 x4

Magnetic moment ... 0.01 μB/f.u.
Formation energy from raw total energies ... -0.97 eV per atom
E_tot ... -2.998 eV/atom


# 3
DFT (PBE) results for an optimized crystal structure of Tm2AlZn2Ni5.

Lattice parameters (Å, degrees): 9.2553 9.2553 3.4766 90.00 90.00 90.00
Space group P4/mbm (No. 127)
Symmetry-distinct sites (fractional):
Tm 0.1760 0.3240 0.0000 x4
Al 0.0000 0.0000 0.0000 x2
Zn 0.1218 0.6218 0.0000 x4
Ni 0.0000 0.5000 0.5000 x2
Ni 0.0579 0.8004 0.5000 x8

ΔH_f (0 K) ... -359 meV/atom
Magnetic moment ... 0.00 μB/f.u.
E_tot ... -4.773 eV/atom


# 4
DFT (PBE) results for an optimized crystal structure of AsSO.

Lattice parameters (Å, degrees): 3.7938 6.3183 6.7551 109.80 94.69 106.87
Space group P1 (No. 1)
Symmetry-distinct sites (fractional):
As 0.0000 0.0000 0.0000 x1
As 0.0927 0.8024 0.2499 x1
S 0.4042 0.6766 0.7810 x1
S 0.7338 0.0578 0.3748 x1
O 0.2310 0.8734 0.7557 x1
O 0.5028 0.5582 0.5749 x1

Magnetic moment ... 0.00 μB/f.u.
Formation energy from raw total energies ... -0.37 eV per atom
E_tot ... -4.947 eV/atom


# 5
DFT (PBE) results for an optimized crystal structure of ScAg2F.

Lattice parameters (Å, degrees): 7.7242 7.7242 4.9400 90.00 90.00 90.00
Space group I-42d (No. 122)
Symmetry-distinct sites (fractional):
Sc 0.0000 0.0000 0.0000 x4
Ag 0.2044 0.2500 0.6250 x8
F 0.0000 0.0000 0.5000 x4

Magnetic moment ... 0.00 μB/f.u.
Formation energy from raw total energies ... -0.75 eV per atom
E_tot ... -4.221 eV/atom


# 6
DFT (PBE) results for an optimized crystal structure of BaLi2BiH.

Lattice parameters (Å, degrees): 4.8278 12.3662 7.6439 90.00 90.00 90.00
Space group Cmcm (No. 63)
Symmetry-distinct sites (fractional):
Ba 0.0000 0.0761 0.2500 x4
Li 0.0000 0.3497 0.0613 x8
Bi 0.0000 0.2063 0.7500 x4
H 0.0000 0.5000 0.0000 x4

Magnetic moment ... 0.00 μB/f.u.
E_tot ... -3.219 eV/atom


# 7
DFT (PBE) results for an optimized crystal structure of Tb3Ag2Pd2.

Lattice parameters (Å, degrees): 4.0000 21.5619 3.7065 90.00 90.00 90.00
Space group Cmmm (No. 65)
Symmetry-distinct sites (fractional):
Tb 0.0000 0.0000 0.0000 x2
Tb 0.0000 0.1673 0.0000 x4
Ag 0.0000 0.4260 0.5000 x4
Pd 0.0000 0.2930 0.5000 x4

ΔH_f (0 K) ... -567 meV/atom
Magnetic moment ... 0.00 μB/f.u.
E_tot ... -4.850 eV/atom


# 8
DFT (PBE) results for an optimized crystal structure of NiTeAs.

Lattice parameters (Å, degrees): 3.7770 3.7770 4.8950 90.00 90.00 120.00
Space group P3m1 (No. 156)
Symmetry-distinct sites (fractional):
Ni 0.0000 0.0000 0.0000 x1
Te 0.6667 0.3333 0.2731 x1
As 0.3333 0.6667 0.7882 x1

Magnetic moment ... 0.00 μB/f.u.
Formation energy from raw total energies ... -0.15 eV per atom
E_tot ... -4.671 eV/atom


# 9
DFT (PBE) results for an optimized crystal structure of Sr2V2In.

Lattice parameters (Å, degrees): 4.6814 4.6814 13.2418 90.00 90.00 90.00
Space group I4/mmm (No. 139)
Symmetry-distinct sites (fractional):
Sr 0.0000 0.5000 0.2500 x4
V 0.0000 0.0000 0.0681 x4
In 0.0000 0.0000 0.5000 x2

ΔH_f (0 K) ... 815 meV/atom
Magnetic moment ... 0.82 μB/f.u.
E_tot ... -4.052 eV/atom


# 10
DFT (PBE) results for an optimized crystal structure of Zr2FeI.

Lattice parameters (Å, degrees): 6.8802 6.8802 6.8802 90.00 90.00 90.00
Space group Fm-3m (No. 225)
Symmetry-distinct sites (fractional):
Zr 0.2500 0.2500 0.2500 x8
Fe 0.0000 0.0000 0.0000 x4
I 0.0000 0.0000 0.5000 x4

Magnetic moment ... 1.97 μB/f.u.
Formation energy from raw total energies ... 0.28 eV per atom
E_tot ... -6.499 eV/atom


# 11
DFT (PBE) results for an optimized crystal structure of Pm2PuZrN4.

Lattice parameters (Å, degrees): 5.9913 3.4674 6.0439 90.00 109.17 90.00
Space group P2/m (No. 10)
Symmetry-distinct sites (fractional):
Pm 0.0000 0.0000 0.0000 x1
Pm 0.5000 0.5000 0.0000 x1
Pu 0.0000 0.5000 0.5000 x1
Zr 0.5000 0.0000 0.5000 x1
N 0.2480 0.0000 0.7224 x2
N 0.2650 0.5000 0.2775 x2

Magnetic moment ... 4.66 μB/f.u.
Formation energy from raw total energies ... -1.48 eV per atom
E_tot ... -9.690 eV/atom


# 12
DFT (PBE) results for an optimized crystal structure of La3Y4Tm.

Lattice parameters (Å, degrees): 3.6318 10.2857 14.4453 90.00 90.00 90.00
Space group Amm2 (No. 38)
Symmetry-distinct sites (fractional):
La 0.0000 0.0000 0.0000 x2
La 0.5000 0.2487 0.1259 x4
Y 0.0000 0.0000 0.4983 x2
Y 0.0000 0.0000 0.7520 x2
Y 0.5000 0.2460 0.3744 x4
Tm 0.0000 0.0000 0.2540 x2

ΔH_f (0 K) ... 25 meV/atom
Magnetic moment ... 0.00 μB/f.u.
E_tot ... -5.613 eV/atom


# 13
DFT (PBE) results for an optimized crystal structure of La2ZnTeIr.

Lattice parameters (Å, degrees): 5.5177 5.5177 4.8617 90.00 90.00 90.00
Space group P4/mmm (No. 123)
Symmetry-distinct sites (fractional):
La 0.0000 0.5000 0.0000 x2
Zn 0.0000 0.0000 0.5000 x1
Te 0.5000 0.5000 0.5000 x1
Ir 0.0000 0.0000 0.0000 x1

Magnetic moment ... 0.00 μB/f.u.
Formation energy from raw total energies ... -0.85 eV per atom
E_tot ... -5.476 eV/atom


# 14
DFT (PBE) results for an optimized crystal structure of AcCd3Ni.

Lattice parameters (Å, degrees): 5.6713 6.2068 6.7232 90.00 91.31 90.00
Space group P2_1/m (No. 11)
Symmetry-distinct sites (fractional):
Ac 0.1521 0.2500 0.1372 x2
Cd 0.1224 0.7500 0.3702 x2
Cd 0.3587 0.0124 0.6951 x4
Ni 0.3522 0.7500 0.0248 x2

ΔH_f (0 K) ... -227 meV/atom
Magnetic moment ... 0.00 μB/f.u.
E_tot ... -2.754 eV/atom


# 15
DFT (PBE) results for an optimized crystal structure of Y3HfTl.

Lattice parameters (Å, degrees): 5.5728 5.5728 5.5728 90.00 90.00 90.00
Space group Pm-3m (No. 221)
Symmetry-distinct sites (fractional):
Y 0.0000 0.0000 0.5000 x3
Hf 0.0000 0.0000 0.0000 x1
Tl 0.5000 0.5000 0.5000 x1

ΔH_f (0 K) ... 630 meV/atom
Magnetic moment ... 0.00 μB/f.u.
E_tot ... -5.712 eV/atom


# 16
DFT (PBE) results for an optimized crystal structure of Ba6Sn3F.

Lattice parameters (Å, degrees): 12.9447 17.4941 8.2057 90.00 90.00 90.00
Space group Cmc2_1 (No. 36)
Symmetry-distinct sites (fractional):
Ba 0.0000 0.0507 0.0000 x4
Ba 0.0000 0.2328 0.4239 x4
Ba 0.1594 0.2675 0.9257 x8
Ba 0.1682 0.4851 0.4146 x8
Sn 0.0000 0.3904 0.6943 x4
Sn 0.1583 0.1089 0.6468 x8
F 0.0000 0.2061 0.0939 x4

Magnetic moment ... 0.00 μB/f.u.
Formation energy from raw total energies ... -0.98 eV per atom
E_tot ... -3.518 eV/atom


# 17
DFT (PBE) results for an optimized crystal structure of YZn8Ga2Pd.

Lattice parameters (Å, degrees): 7.5382 4.9273 11.4253 90.00 101.19 90.00
Space group C2/m (No. 12)
Symmetry-distinct sites (fractional):
Y 0.0000 0.0000 0.0000 x2
Zn 0.0515 0.2475 0.3104 x8
Zn 0.1692 0.5000 0.5428 x4
Zn 0.2375 0.5000 0.1664 x4
Ga 0.1301 0.5000 0.8733 x4
Pd 0.0000 0.0000 0.5000 x2

ΔH_f (0 K) ... -174 meV/atom
Magnetic moment ... 0.00 μB/f.u.
E_tot ... -2.499 eV/atom


# 18
DFT (PBE) results for an optimized crystal structure of TaBi3Au.

Lattice parameters (Å, degrees): 5.4544 5.4544 5.4544 90.00 90.00 90.00
Space group Pm-3m (No. 221)
Symmetry-distinct sites (fractional):
Ta 0.0000 0.0000 0.0000 x1
Bi 0.0000 0.5000 0.5000 x3
Au 0.5000 0.5000 0.5000 x1

ΔH_f (0 K) ... 1267 meV/atom
Magnetic moment ... 2.58 μB/f.u.
E_tot ... -4.087 eV/atom


# 19
DFT (PBE) results for an optimized crystal structure of LaPuZnSi.

Lattice parameters (Å, degrees): 7.2625 7.2625 7.2625 90.00 90.00 90.00
Space group F-43m (No. 216)
Symmetry-distinct sites (fractional):
La 0.0000 0.0000 0.0000 x4
Pu 0.0000 0.0000 0.5000 x4
Zn 0.2500 0.2500 0.7500 x4
Si 0.2500 0.2500 0.2500 x4

Magnetic moment ... 6.13 μB/f.u.
Formation energy from raw total energies ... -0.28 eV per atom
E_tot ... -6.773 eV/atom


# 20
DFT (PBE) results for an optimized crystal structure of TaIr2OsI.

Lattice parameters (Å, degrees): 4.7746 4.7746 4.7660 90.00 90.00 90.00
Space group P4/mmm (No. 123)
Symmetry-distinct sites (fractional):
Ta 0.0000 0.0000 0.0000 x1
Ir 0.0000 0.5000 0.5000 x2
Os 0.5000 0.5000 0.0000 x1
I 0.5000 0.5000 0.5000 x1

Magnetic moment ... 0.00 μB/f.u.
Formation energy from raw total energies ... 2.41 eV per atom
E_tot ... -6.065 eV/atom